# CeSm2Th12 PBE-GGA optimized geometry
data_CeSm2Th12
_cell_length_a 3.467
_cell_length_b 5.794
_cell_length_c 24.872
_cell_angle_alpha 90.00
_cell_angle_beta 90.00
_cell_angle_gamma 90.00
_space_group_name_H-M_alt 'P m m m'
_space_group_IT_number 47
loop_
_space_group_symop_operation_xyz
'x,y,z'
'-x,-y,-z'
'-x,-y,z'
'x,y,-z'
'x,-y,-z'
'-x,y,z'
'-x,y,-z'
'x,-y,z'
loop_
_atom_site_label
_atom_site_type_symbol
_atom_site_fract_x
_atom_site_fract_y
_atom_site_fract_z
_atom_site_occupancy
Ce1 Ce 0.000 0.000 0.000 1
Sm1 Sm 0.000 0.000 0.265 1
Th1 Th 0.000 0.500 0.068 1
Th2 Th 0.000 0.500 0.437 1
Th3 Th 0.500 0.000 0.124 1
Th4 Th 0.500 0.000 0.418 1
Th5 Th 0.500 0.500 0.193 1
Th6 Th 0.500 0.500 0.321 1
# **Energy of formation**: 340 kJ/mol of formula units
# **Total moment**: 0.000 μB per cell
# **Calculated volume**: 499.7 Å³ per cell
# **Fermi-level density of states**: 27.57 states/eV per cell